1.
{"formula": "SrMoW2", "functional": "PBE", "state": "optimized geometry", "m_tot_mub_per_cell": 0.00, "dos_at_fermi_per_ev_cell": 4.5, "crystal_system": "orthorhombic", "relative_energy_mev_per_atom": 379, "ef_ev_per_atom": 1.12, "density_g_cm3": 11.645, "lattice_angstrom": [[-4.981, 0.128, 2.821], [0.253, -1.160, 5.602], [1.482, 3.414, -4.351]], "species": ["Mo", "W", "W", "Sr"], "frac_coords": [[0.526, 0.526, 0.000], [0.751, 0.251, 0.500], [0.972, 0.972, 0.000], [0.252, 0.752, 0.500]]}

---

2.
{"formula": "Be2ZnCl", "functional": "PBE", "state": "optimized geometry", "m_tot_mub_per_cell": 0.00, "dos_at_fermi_per_ev_cell": 1.0, "formation_energy_uncorrected_mev_per_atom": 612, "crystal_system": "orthorhombic", "relative_energy_mev_per_atom": 565, "density_g_cm3": 3.526, "lattice_angstrom": [[-3.858, 1.019, -2.084], [2.758, -2.340, -2.681], [-1.198, -2.534, 0.980]], "species": ["Cl", "Be", "Be", "Zn"], "frac_coords": [[0.500, 0.000, 0.500], [0.500, 0.500, 0.000], [0.000, 0.000, 0.000], [0.000, 0.500, 0.500]]}